Material: AlGaIr3
Method: DFT, meta-GGA SCAN
State: PBEsol geometry

VASP energy, eV/f.u.: -232.114
Fermi-level density of states, states/eV/cell: 2.921
Total magnetization, μB per formula unit: 0.0
Calculated formation energy, eV per atom: 1.056

Geometry as CIF:
```
data_AlGaIr3
_cell_length_a 4.4508
_cell_length_b 4.4508
_cell_length_c 4.4508
_cell_angle_alpha 90.00
_cell_angle_beta 90.00
_cell_angle_gamma 90.00
_space_group_name_H-M_alt 'P m -3 m'
_space_group_IT_number 221
_space_group_name_Hall '-P 4 2 3'
loop_
_atom_site_label
_atom_site_fract_x
_atom_site_fract_y
_atom_site_fract_z
Al1 0.0000 0.0000 0.0000
Ga1 0.5000 0.5000 0.5000
Ir1 0.0000 0.5000 0.5000
```

---

Material: KAlGa3
Method: DFT, meta-GGA SCAN
State: PBEsol geometry

VASP energy, eV/f.u.: -58.227
Fermi-level density of states, states/eV/cell: 3.105
Total magnetization, μB per formula unit: 0.0
Calculated formation energy, eV per atom: 1.379

Geometry as CIF:
```
data_KAlGa3
_cell_length_a 5.4562
_cell_length_b 5.4562
_cell_length_c 5.4562
_cell_angle_alpha 90.00
_cell_angle_beta 90.00
_cell_angle_gamma 90.00
_space_group_name_H-M_alt 'P m -3 m'
_space_group_IT_number 221
_space_group_name_Hall '-P 4 2 3'
loop_
_atom_site_label
_atom_site_fract_x
_atom_site_fract_y
_atom_site_fract_z
K1 0.0000 0.0000 0.0000
Al1 0.5000 0.5000 0.5000
Ga1 0.0000 0.0000 0.5000
```

---

Material: KAl2Ga2
Method: DFT, meta-GGA SCAN
State: PBEsol geometry

VASP energy, eV/f.u.: -56.822
Fermi-level density of states, states/eV/cell: 3.279
Total magnetization, μB per formula unit: 0.0
Calculated formation energy, eV per atom: -0.059

Geometry as CIF:
```
data_KAl2Ga2
_cell_length_a 4.3471
_cell_length_b 4.3471
_cell_length_c 11.4936
_cell_angle_alpha 90.00
_cell_angle_beta 90.00
_cell_angle_gamma 90.00
_space_group_name_H-M_alt 'I 4/m m m'
_space_group_IT_number 139
_space_group_name_Hall '-I 4 2'
loop_
_atom_site_label
_atom_site_fract_x
_atom_site_fract_y
_atom_site_fract_z
K1 0.0000 0.0000 0.0000
Al1 0.0000 0.0000 0.3835
Ga1 0.0000 0.5000 0.2500
```

---

Material: KMgAl2Ga
Method: DFT, meta-GGA SCAN
State: PBEsol geometry

VASP energy, eV/f.u.: -37.310
Fermi-level density of states, states/eV/cell: 4.970
Total magnetization, μB per formula unit: 0.0
Calculated formation energy, eV per atom: 1.569

Geometry as CIF:
```
data_KMgAl2Ga
_cell_length_a 5.6509
_cell_length_b 5.6509
_cell_length_c 5.7387
_cell_angle_alpha 90.00
_cell_angle_beta 90.00
_cell_angle_gamma 90.00
_space_group_name_H-M_alt 'P 4/m m m'
_space_group_IT_number 123
_space_group_name_Hall '-P 4 2'
loop_
_atom_site_label
_atom_site_fract_x
_atom_site_fract_y
_atom_site_fract_z
K1 0.0000 0.0000 0.0000
Mg1 0.0000 0.0000 0.5000
Al1 0.0000 0.5000 0.0000
Ga1 0.5000 0.5000 0.5000
```

---

Material: LaAl2Ga2
Method: DFT, meta-GGA SCAN
State: PBEsol geometry

VASP energy, eV/f.u.: -94.177
Fermi-level density of states, states/eV/cell: 4.597
Total magnetization, μB per formula unit: 0.0
Calculated formation energy, eV per atom: -0.575

Geometry as CIF:
```
data_LaAl2Ga2
_cell_length_a 4.2094
_cell_length_b 4.2094
_cell_length_c 11.1793
_cell_angle_alpha 90.00
_cell_angle_beta 90.00
_cell_angle_gamma 90.00
_space_group_name_H-M_alt 'I 4/m m m'
_space_group_IT_number 139
_space_group_name_Hall '-I 4 2'
loop_
_atom_site_label
_atom_site_fract_x
_atom_site_fract_y
_atom_site_fract_z
La1 0.0000 0.0000 0.0000
Al1 0.0000 0.5000 0.2500
Ga1 0.0000 0.0000 0.3877
```

---

Material: Li2AlGa2
Method: DFT, meta-GGA SCAN
State: PBEsol geometry

VASP energy, eV/f.u.: -46.199
Fermi-level density of states, states/eV/cell: 3.204
Total magnetization, μB per formula unit: 0.0
Calculated formation energy, eV per atom: -0.195

Geometry as CIF:
```
data_Li2AlGa2
_cell_length_a 6.9237
_cell_length_b 6.9237
_cell_length_c 3.3249
_cell_angle_alpha 90.00
_cell_angle_beta 90.00
_cell_angle_gamma 90.00
_space_group_name_H-M_alt 'P 4/m b m'
_space_group_IT_number 127
_space_group_name_Hall '-P 4 2ab'
loop_
_atom_site_label
_atom_site_fract_x
_atom_site_fract_y
_atom_site_fract_z
Li1 0.1698 0.3302 0.0000
Al1 0.0000 0.0000 0.5000
Ga1 0.1309 0.6309 0.5000
```

---

Material: LiAlGa2Re
Method: DFT, meta-GGA SCAN
State: PBEsol geometry

VASP energy, eV/f.u.: -110.088
Fermi-level density of states, states/eV/cell: 3.715
Total magnetization, μB per formula unit: 0.0
Calculated formation energy, eV per atom: 0.769

Geometry as CIF:
```
data_LiAlGa2Re
_cell_length_a 4.7600
_cell_length_b 4.7600
_cell_length_c 4.8132
_cell_angle_alpha 90.00
_cell_angle_beta 90.00
_cell_angle_gamma 90.00
_space_group_name_H-M_alt 'P 4/m m m'
_space_group_IT_number 123
_space_group_name_Hall '-P 4 2'
loop_
_atom_site_label
_atom_site_fract_x
_atom_site_fract_y
_atom_site_fract_z
Li1 0.0000 0.0000 0.0000
Al1 0.5000 0.5000 0.0000
Ga1 0.0000 0.5000 0.5000
Re1 0.0000 0.0000 0.5000
```

---

Material: LiAlGaSi2
Method: DFT, meta-GGA SCAN
State: PBEsol geometry

Formation energy (no corrections), meV/atom: 755
VASP energy, eV/f.u.: -42.744
Fermi-level density of states, states/eV/cell: 1.902
Total magnetization, μB per formula unit: 0.0

Geometry as CIF:
```
data_LiAlGaSi2
_cell_length_a 4.4100
_cell_length_b 4.4100
_cell_length_c 4.4192
_cell_angle_alpha 90.00
_cell_angle_beta 90.00
_cell_angle_gamma 90.00
_space_group_name_H-M_alt 'P 4/m m m'
_space_group_IT_number 123
_space_group_name_Hall '-P 4 2'
loop_
_atom_site_label
_atom_site_fract_x
_atom_site_fract_y
_atom_site_fract_z
Li1 0.0000 0.0000 0.0000
Al1 0.5000 0.5000 0.5000
Ga1 0.0000 0.0000 0.5000
Si1 0.0000 0.5000 0.0000
```

---

Material: MgAlGa
Method: DFT, meta-GGA SCAN
State: PBEsol geometry

VASP energy, eV/f.u.: -29.500
Fermi-level density of states, states/eV/cell: 3.666
Total magnetization, μB per formula unit: 0.0
Calculated formation energy, eV per atom: -0.143

Geometry as CIF:
```
data_MgAlGa
_cell_length_a 6.8525
_cell_length_b 4.0576
_cell_length_c 7.8865
_cell_angle_alpha 90.00
_cell_angle_beta 90.00
_cell_angle_gamma 90.00
_space_group_name_H-M_alt 'P n m a'
_space_group_IT_number 62
_space_group_name_Hall '-P 2ac 2n'
loop_
_atom_site_label
_atom_site_fract_x
_atom_site_fract_y
_atom_site_fract_z
Mg1 0.0343 0.2500 0.1665
Al1 0.1389 0.2500 0.5576
Ga1 0.2395 0.7500 0.3690
```

---

Material: Mg17Al11Ga
Method: DFT, meta-GGA SCAN
State: PBEsol geometry

VASP energy, eV/f.u.: -187.183
Fermi-level density of states, states/eV/cell: 21.451
Total magnetization, μB per formula unit: 0.0
Calculated formation energy, eV per atom: -0.035

Geometry as CIF:
```
data_Mg17Al11Ga
_cell_length_a 10.4549
_cell_length_b 14.7779
_cell_length_c 9.0481
_cell_angle_alpha 90.00
_cell_angle_beta 125.21
_cell_angle_gamma 90.00
_space_group_name_H-M_alt 'C 1 m 1'
_space_group_IT_number 8
_space_group_name_Hall 'C -2y'
loop_
_atom_site_label
_atom_site_fract_x
_atom_site_fract_y
_atom_site_fract_z
Mg1 0.0000 0.0000 0.0000
Mg2 0.0008 0.0000 0.6567
Mg3 0.0577 0.3421 0.0557
Mg4 0.1560 0.5000 0.3120
Mg5 0.1592 0.1574 0.2594
Mg6 0.1742 0.1728 0.6573
Mg7 0.1857 0.5000 0.9438
Mg8 0.3025 0.3008 0.9740
Mg9 0.3993 0.0000 0.3727
Mg10 0.4608 0.1431 0.6583
Mg11 0.4858 0.1993 0.3413
Al1 0.0033 0.1835 0.8434
Al2 0.2243 0.4091 0.6568
Al3 0.2757 0.0928 0.0241
Al4 0.3179 0.3163 0.4717
Al5 0.3675 0.0000 0.8357
Al6 0.4096 0.4074 0.2910
Ga1 0.1889 0.0000 0.4750
```

---

Material: RbAlGaMo2
Method: DFT, meta-GGA SCAN
State: PBEsol geometry

VASP energy, eV/f.u.: -107.506
Fermi-level density of states, states/eV/cell: 2.779
Total magnetization, μB per formula unit: 6.2
Calculated formation energy, eV per atom: 1.420

Geometry as CIF:
```
data_RbAlGaMo2
_cell_length_a 4.9673
_cell_length_b 4.9673
_cell_length_c 4.7585
_cell_angle_alpha 90.00
_cell_angle_beta 90.00
_cell_angle_gamma 90.00
_space_group_name_H-M_alt 'P 4/m m m'
_space_group_IT_number 123
_space_group_name_Hall '-P 4 2'
loop_
_atom_site_label
_atom_site_fract_x
_atom_site_fract_y
_atom_site_fract_z
Rb1 0.0000 0.0000 0.0000
Al1 0.5000 0.5000 0.0000
Ga1 0.5000 0.5000 0.5000
Mo1 0.0000 0.5000 0.5000
```

---

Material: AlGaN2
Method: DFT, meta-GGA SCAN
State: PBEsol geometry

Formation energy (no corrections), meV/atom: -1154
VASP energy, eV/f.u.: -47.295
Fermi-level density of states, states/eV/cell: 0.000
Relative energy among the computed polymorphs, eV/f.u.: 0.03
Total magnetization, μB per formula unit: 0.0

Geometry as CIF:
```
data_AlGaN2
_cell_length_a 3.1403
_cell_length_b 3.1403
_cell_length_c 4.4238
_cell_angle_alpha 90.00
_cell_angle_beta 90.00
_cell_angle_gamma 90.00
_space_group_name_H-M_alt 'P -4 m 2'
_space_group_IT_number 115
_space_group_name_Hall 'P -4 -2'
loop_
_atom_site_label
_atom_site_fract_x
_atom_site_fract_y
_atom_site_fract_z
Al1 0.0000 0.0000 0.0000
Ga1 0.5000 0.5000 0.5000
N1 0.0000 0.5000 0.2398
```

---

Which of these has the highest total magnetization? RbAlGaMo2